[1]
A relaxed TbTmTlCu2 crystal. Source: OQMD via LeMat-Bulk, functional PBE-GGA.

POSCAR file:
```
TbTmTlCu2
1.0
3.689 0.000 0.000
0.000 2.041 7.093
0.000 -2.041 7.093
Tb Tm Tl Cu
1 1 1 2
Cartesian
0.000 0.000 0.000
0.000 0.000 3.833
1.844 0.000 9.017
1.844 0.000 6.119
1.844 0.000 11.838
```

Summary:
**Total energy**: -4.0967 eV per atom
**SG**: No. 38


[2]
A relaxed OsAu crystal. Source: OQMD via LeMat-Bulk, functional PBE-GGA.

POSCAR file:
```
OsAu
1.0
2.790 0.000 0.000
-1.395 2.416 0.000
0.000 0.000 4.696
Os Au
1 1
Cartesian
0.000 0.000 0.000
0.000 1.611 2.348
```

Summary:
**Excess energy over the best structure of this formula in the dataset**: 0.00 eV per formula unit
**Formation enthalpy at 0 K**: 0.73 eV/atom
**SG**: No. 187


[3]
A relaxed PrSmNb crystal. Source: OQMD via LeMat-Bulk, functional PBE-GGA.

POSCAR file:
```
PrSmNb
1.0
0.000 3.651 3.651
3.651 0.000 3.651
3.651 3.651 0.000
Pr Sm Nb
1 1 1
Cartesian
0.000 0.000 0.000
3.651 3.651 3.651
1.826 1.826 1.826
```

Summary:
**Excess energy over the best structure of this formula in the dataset**: 0.00 eV per formula unit
**Formation enthalpy at 0 K**: 0.81 eV/atom
**SG**: No. 216


[4]
A relaxed FeS crystal. Source: OQMD via LeMat-Bulk, functional PBE-GGA.

POSCAR file:
```
FeS
1.0
3.581 0.000 0.000
0.000 3.581 0.000
-0.048 0.000 5.541
Fe S
2 2
Cartesian
0.895 0.895 0.000
2.685 2.686 0.000
0.847 2.686 4.323
2.686 0.895 1.218
```

Summary:
**Total energy**: -6.7357 eV per atom
**SG**: No. 11


no.,total magnetic moment (Bohr magnetons per cell)
1,0.0
2,0.0
3,1.8
4,0.0